1.
A crystal of BSeI3 relaxed with PBEsol, computed with meta-GGA SCAN.

Output
* formation energy from raw total energies: 1.1312 eV/atom
* SG: Pm-3m (221)
* excess energy over the best structure of this formula in the dataset: 0.111 eV per atom

abc: 5.6105 5.6105 5.6105
angles: 90.00 90.00 90.00
Closest atoms and distances in Å follow each position.
Fractional positions:
B1 0.0000 0.0000 0.0000  12 I 3.97
Se1 0.5000 0.5000 0.5000  6 I 2.81
I1 0.0000 0.5000 0.5000  2 Se 2.81
I2 0.5000 0.0000 0.5000  2 Se 2.81
I3 0.5000 0.5000 0.0000  2 Se 2.81

***

2.
A crystal of BTeSeI2 relaxed with PBEsol, computed with meta-GGA SCAN.

Output
* formation energy from raw total energies: 1.2612 eV/atom
* SG: P4/mmm (123)

abc: 5.5203 5.5203 5.5391
angles: 90.00 90.00 90.00
Closest atoms and distances in Å follow each position.
Fractional positions:
B1 0.0000 0.0000 0.0000  4 Te 3.90, 8 I 3.91
Te1 0.5000 0.5000 0.0000  2 Se 2.77
Se1 0.5000 0.5000 0.5000  4 I 2.76, 2 Te 2.77
I1 0.0000 0.5000 0.5000  2 Se 2.76
I2 0.5000 0.0000 0.5000  2 Se 2.76

***

3.
A crystal of Sn3BI relaxed with PBEsol, computed with meta-GGA SCAN.

Output
* formation energy from raw total energies: 0.7762 eV/atom
* SG: Pm-3m (221)

abc: 4.9691 4.9691 4.9691
angles: 90.00 90.00 90.00
Closest atoms and distances in Å follow each position.
Fractional positions:
Sn1 0.0000 0.0000 0.5000  2 B 2.48
Sn2 0.0000 0.5000 0.0000  2 B 2.48
Sn3 0.5000 0.0000 0.0000  2 B 2.48
B1 0.0000 0.0000 0.0000  6 Sn 2.48
I1 0.5000 0.5000 0.5000  12 Sn 3.51

***

4.
A crystal of SnB3I relaxed with PBEsol, computed with meta-GGA SCAN.

Output
* formation energy from raw total energies: 2.0922 eV/atom
* SG: Pm-3m (221)

abc: 4.6009 4.6009 4.6009
angles: 90.00 90.00 90.00
Closest atoms and distances in Å follow each position.
Fractional positions:
Sn1 0.0000 0.0000 0.0000  6 B 2.30
B1 0.0000 0.0000 0.5000  2 Sn 2.30
B2 0.0000 0.5000 0.0000  2 Sn 2.30
B3 0.5000 0.0000 0.0000  2 Sn 2.30
I1 0.5000 0.5000 0.5000  12 B 3.25

***

5.
A crystal of SnBTeI2 relaxed with PBEsol, computed with meta-GGA SCAN.

Output
* formation energy from raw total energies: 1.1164 eV/atom
* SG: P4/mmm (123)

abc: 5.8529 5.8529 5.6958
angles: 90.00 90.00 90.00
Closest atoms and distances in Å follow each position.
Fractional positions:
Sn1 0.0000 0.0000 0.0000  2 Te 2.85, 4 I 2.93
B1 0.5000 0.5000 0.5000  8 I 4.08, 4 Te 4.14
Te1 0.0000 0.0000 0.5000  2 Sn 2.85
I1 0.0000 0.5000 0.0000  2 Sn 2.93
I2 0.5000 0.0000 0.0000  2 Sn 2.93

***

6.
A crystal of SrB2I relaxed with PBEsol, computed with meta-GGA SCAN.

Output
* formation energy from raw total energies: 1.4939 eV/atom
* SG: Fm-3m (225)

abc: 6.8178 6.8178 6.8178
angles: 90.00 90.00 90.00
Closest atoms and distances in Å follow each position.
Fractional positions:
Sr1 0.0000 0.0000 0.0000  8 B 2.95
Sr2 0.0000 0.5000 0.5000  8 B 2.95
Sr3 0.5000 0.0000 0.5000  8 B 2.95
Sr4 0.5000 0.5000 0.0000  8 B 2.95
B1 0.2500 0.2500 0.2500  4 I 2.95, 4 Sr 2.95
B2 0.2500 0.2500 0.7500  4 I 2.95, 4 Sr 2.95
B3 0.2500 0.7500 0.2500  4 I 2.95, 4 Sr 2.95
B4 0.2500 0.7500 0.7500  4 I 2.95, 4 Sr 2.95
B5 0.7500 0.2500 0.2500  4 I 2.95, 4 Sr 2.95
B6 0.7500 0.2500 0.7500  4 I 2.95, 4 Sr 2.95
B7 0.7500 0.7500 0.2500  4 I 2.95, 4 Sr 2.95
B8 0.7500 0.7500 0.7500  4 I 2.95, 4 Sr 2.95
I1 0.0000 0.0000 0.5000  8 B 2.95
I2 0.0000 0.5000 0.0000  8 B 2.95
I3 0.5000 0.0000 0.0000  8 B 2.95
I4 0.5000 0.5000 0.5000  8 B 2.95

***

7.
A crystal of SrBI2 relaxed with PBEsol, computed with meta-GGA SCAN.

Output
* formation energy from raw total energies: 0.2062 eV/atom
* SG: I-42d (122)

abc: 5.6311 5.6311 18.4146
angles: 90.00 90.00 90.00
Closest atoms and distances in Å follow each position.
Fractional positions:
Sr1 0.0000 0.0000 0.0000  4 I 3.16
Sr2 0.0000 0.5000 0.2500  4 I 3.16
Sr3 0.5000 0.0000 0.7500  4 I 3.16
Sr4 0.5000 0.5000 0.5000  4 I 3.16
B1 0.0000 0.0000 0.5000  4 I 2.94
B2 0.0000 0.5000 0.7500  4 I 2.94
B3 0.5000 0.0000 0.2500  4 I 2.94
B4 0.5000 0.5000 0.0000  4 I 2.94
I1 0.2083 0.2500 0.6250  2 B 2.94, 2 Sr 3.16
I2 0.2500 0.7083 0.8750  2 B 2.94, 2 Sr 3.16
I3 0.2500 0.7917 0.3750  2 B 2.94, 2 Sr 3.16
I4 0.2917 0.2500 0.1250  2 B 2.94, 2 Sr 3.16
I5 0.7083 0.7500 0.1250  2 B 2.94, 2 Sr 3.16
I6 0.7500 0.2083 0.3750  2 B 2.94, 2 Sr 3.16
I7 0.7500 0.2917 0.8750  2 B 2.94, 2 Sr 3.16
I8 0.7917 0.7500 0.6250  2 B 2.94, 2 Sr 3.16

***

8.
A crystal of Sr3BI relaxed with PBEsol, computed with meta-GGA SCAN.

Output
* formation energy from raw total energies: 0.7589 eV/atom
* SG: Pm-3m (221)

abc: 6.0303 6.0303 6.0303
angles: 90.00 90.00 90.00
Closest atoms and distances in Å follow each position.
Fractional positions:
Sr1 0.0000 0.0000 0.5000  2 I 3.02
Sr2 0.0000 0.5000 0.0000  2 I 3.02
Sr3 0.5000 0.0000 0.0000  2 I 3.02
B1 0.5000 0.5000 0.5000  12 Sr 4.26
I1 0.0000 0.0000 0.0000  6 Sr 3.02

***

9.
A crystal of TaB2I relaxed with PBEsol, computed with meta-GGA SCAN.

Output
* formation energy from raw total energies: 1.9516 eV/atom
* SG: Fm-3m (225)

abc: 6.0408 6.0408 6.0408
angles: 90.00 90.00 90.00
Closest atoms and distances in Å follow each position.
Fractional positions:
Ta1 0.0000 0.0000 0.0000  8 B 2.62
Ta2 0.0000 0.5000 0.5000  8 B 2.62
Ta3 0.5000 0.0000 0.5000  8 B 2.62
Ta4 0.5000 0.5000 0.0000  8 B 2.62
B1 0.2500 0.2500 0.2500  4 Ta 2.62, 4 I 2.62
B2 0.2500 0.2500 0.7500  4 Ta 2.62, 4 I 2.62
B3 0.2500 0.7500 0.2500  4 Ta 2.62, 4 I 2.62
B4 0.2500 0.7500 0.7500  4 Ta 2.62, 4 I 2.62
B5 0.7500 0.2500 0.2500  4 Ta 2.62, 4 I 2.62
B6 0.7500 0.2500 0.7500  4 Ta 2.62, 4 I 2.62
B7 0.7500 0.7500 0.2500  4 Ta 2.62, 4 I 2.62
B8 0.7500 0.7500 0.7500  4 Ta 2.62, 4 I 2.62
I1 0.0000 0.0000 0.5000  8 B 2.62
I2 0.0000 0.5000 0.0000  8 B 2.62
I3 0.5000 0.0000 0.0000  8 B 2.62
I4 0.5000 0.5000 0.5000  8 B 2.62

***

10.
A crystal of BTeI3 relaxed with PBEsol, computed with meta-GGA SCAN.

Output
* formation energy from raw total energies: 0.8789 eV/atom
* SG: Pm-3m (221)

abc: 5.0587 5.0587 5.0587
angles: 90.00 90.00 90.00
Closest atoms and distances in Å follow each position.
Fractional positions:
B1 0.0000 0.0000 0.0000  6 I 2.53
Te1 0.5000 0.5000 0.5000  12 I 3.58
I1 0.0000 0.0000 0.5000  2 B 2.53
I2 0.0000 0.5000 0.0000  2 B 2.53
I3 0.5000 0.0000 0.0000  2 B 2.53

***

11.
A crystal of BTe2WI relaxed with PBEsol, computed with meta-GGA SCAN.

Output
* formation energy from raw total energies: 1.6244 eV/atom
* SG: P4/mmm (123)

abc: 4.7118 4.7118 4.6809
angles: 90.00 90.00 90.00
Closest atoms and distances in Å follow each position.
Fractional positions:
B1 0.0000 0.0000 0.0000  2 I 2.34, 4 Te 2.36
Te1 0.0000 0.5000 0.0000  2 B 2.36
Te2 0.5000 0.0000 0.0000  2 B 2.36
W1 0.5000 0.5000 0.5000  8 Te 3.32, 4 I 3.33
I1 0.0000 0.0000 0.5000  2 B 2.34

***

12.
A crystal of BTeWI2 relaxed with PBEsol, computed with meta-GGA SCAN.

Output
* formation energy from raw total energies: 1.2327 eV/atom
* SG: P4/mmm (123)

abc: 5.3755 5.3755 4.2009
angles: 90.00 90.00 90.00
Closest atoms and distances in Å follow each position.
Fractional positions:
B1 0.0000 0.0000 0.0000  2 W 2.10
Te1 0.5000 0.5000 0.0000  8 I 3.41, 4 B 3.80
W1 0.0000 0.0000 0.5000  2 B 2.10
I1 0.0000 0.5000 0.5000  2 W 2.69
I2 0.5000 0.0000 0.5000  2 W 2.69

***

13.
A crystal of YBTeI2 relaxed with PBEsol, computed with meta-GGA SCAN.

Output
* formation energy from raw total energies: 0.4654 eV/atom
* SG: P4/mmm (123)

abc: 5.8183 5.8183 5.1037
angles: 90.00 90.00 90.00
Closest atoms and distances in Å follow each position.
Fractional positions:
Y1 0.0000 0.0000 0.0000  2 B 2.55
B1 0.0000 0.0000 0.5000  2 Y 2.55
Te1 0.5000 0.5000 0.5000  8 I 3.87, 4 B 4.11
I1 0.0000 0.5000 0.0000  2 Y 2.91
I2 0.5000 0.0000 0.0000  2 Y 2.91

***

14.
A crystal of Zr3BI relaxed with PBEsol, computed with meta-GGA SCAN.

Output
* formation energy from raw total energies: 1.8645 eV/atom
* SG: Pm-3m (221)

abc: 5.1298 5.1298 5.1298
angles: 90.00 90.00 90.00
Closest atoms and distances in Å follow each position.
Fractional positions:
Zr1 0.0000 0.0000 0.5000  2 I 2.56
Zr2 0.0000 0.5000 0.0000  2 I 2.56
Zr3 0.5000 0.0000 0.0000  2 I 2.56
B1 0.5000 0.5000 0.5000  12 Zr 3.63
I1 0.0000 0.0000 0.0000  6 Zr 2.56

***

15.
A crystal of Zr6BI12 relaxed with PBEsol, computed with meta-GGA SCAN.

Output
* formation energy from raw total energies: -1.0502 eV/atom
* SG: R-3 (148)

abc: 8.9655 8.9655 8.9655
angles: 107.16 107.16 107.16
Closest atoms and distances in Å follow each position.
Fractional positions:
Zr1 0.2188 0.4073 0.4714  1 B 2.32
Zr2 0.4073 0.4714 0.2188  1 B 2.32
Zr3 0.4714 0.2188 0.4073  1 B 2.32
Zr4 0.5286 0.7812 0.5927  1 B 2.32
Zr5 0.5927 0.5286 0.7812  1 B 2.32
Zr6 0.7812 0.5927 0.5286  1 B 2.32
B1 0.5000 0.5000 0.5000  6 Zr 2.32
I1 0.0466 0.3518 0.1230  2 Zr 2.85-2.86
I2 0.1230 0.0466 0.3518  2 Zr 2.85-2.86
I3 0.1853 0.7299 0.5801  2 Zr 2.90-2.94
I4 0.2701 0.4199 0.8147  2 Zr 2.90-2.94
I5 0.3518 0.1230 0.0466  2 Zr 2.85-2.86
I6 0.4199 0.8147 0.2701  2 Zr 2.90-2.94
I7 0.5801 0.1853 0.7299  2 Zr 2.90-2.94
I8 0.6482 0.8770 0.9534  2 Zr 2.85-2.86
I9 0.7299 0.5801 0.1853  2 Zr 2.90-2.94
I10 0.8147 0.2701 0.4199  2 Zr 2.90-2.94
I11 0.8770 0.9534 0.6482  2 Zr 2.85-2.86
I12 0.9534 0.6482 0.8770  2 Zr 2.85-2.86

***

16.
A crystal of In5B4Ir9 relaxed with PBEsol, computed with meta-GGA SCAN.

Output
* ΔH_f (0 K): -0.281 eV/atom
* SG: P-62m (189)

abc: 5.5769 5.5769 10.2966
angles: 90.00 90.00 120.00
Closest atoms and distances in Å follow each position.
Fractional positions:
In1 0.0000 0.0000 0.0000  6 Ir 2.67-2.91
In2 0.0000 0.0000 0.3442  6 Ir 2.74-3.01
In3 0.0000 0.0000 0.6558  6 Ir 2.74-3.01
In4 0.3333 0.6667 0.5000  6 Ir 2.81
In5 0.6667 0.3333 0.5000  6 Ir 2.81
B1 0.3333 0.6667 0.1465  6 Ir 2.10-2.21
B2 0.3333 0.6667 0.8535  6 Ir 2.10-2.21
B3 0.6667 0.3333 0.1465  6 Ir 2.10-2.21
B4 0.6667 0.3333 0.8535  6 Ir 2.10-2.21
Ir1 0.0000 0.4757 0.2764  2 B 2.10
Ir2 0.0000 0.4757 0.7236  2 B 2.10
Ir3 0.0000 0.4788 0.0000  4 B 2.21
Ir4 0.4757 0.0000 0.2764  2 B 2.10
Ir5 0.4757 0.0000 0.7236  2 B 2.10
Ir6 0.4788 0.0000 0.0000  4 B 2.21
Ir7 0.5212 0.5212 0.0000  4 B 2.21
Ir8 0.5243 0.5243 0.2764  2 B 2.10
Ir9 0.5243 0.5243 0.7236  2 B 2.10

***

17.
A crystal of InB2Ir2 relaxed with PBEsol, computed with meta-GGA SCAN.

Output
* ΔH_f (0 K): -0.251 eV/atom
* SG: I4/mmm (139)

abc: 2.9306 2.9306 14.5059
angles: 90.00 90.00 90.00
Closest atoms and distances in Å follow each position.
Fractional positions:
In1 0.0000 0.0000 0.0000  8 Ir 2.93, 4 In 2.93
In2 0.5000 0.5000 0.5000  8 Ir 2.93, 4 In 2.93
B1 0.0000 0.5000 0.2500  4 B 2.07, 4 Ir 2.14
B2 0.0000 0.5000 0.7500  4 B 2.07, 4 Ir 2.14
B3 0.5000 0.0000 0.2500  4 B 2.07, 4 Ir 2.14
B4 0.5000 0.0000 0.7500  4 B 2.07, 4 Ir 2.14
Ir1 0.0000 0.0000 0.3573  4 B 2.14
Ir2 0.0000 0.0000 0.6427  4 B 2.14
Ir3 0.5000 0.5000 0.1427  4 B 2.14
Ir4 0.5000 0.5000 0.8573  4 B 2.14

***

18.
A crystal of KInB3 relaxed with PBEsol, computed with meta-GGA SCAN.

Output
* ΔH_f (0 K): 3.167 eV/atom
* SG: Pm-3m (221)

abc: 4.7043 4.7043 4.7043
angles: 90.00 90.00 90.00
Closest atoms and distances in Å follow each position.
Fractional positions:
K1 0.0000 0.0000 0.0000  6 B 2.35
In1 0.5000 0.5000 0.5000  12 B 3.33
B1 0.0000 0.0000 0.5000  2 K 2.35
B2 0.0000 0.5000 0.0000  2 K 2.35
B3 0.5000 0.0000 0.0000  2 K 2.35

***

19.
A crystal of K2InB relaxed with PBEsol, computed with meta-GGA SCAN.

Output
* ΔH_f (0 K): 1.021 eV/atom
* SG: Fm-3m (225)

abc: 7.7715 7.7715 7.7715
angles: 90.00 90.00 90.00
Closest atoms and distances in Å follow each position.
Fractional positions:
K1 0.2500 0.2500 0.2500  4 In 3.37, 4 B 3.37
K2 0.2500 0.2500 0.7500  4 B 3.37, 4 In 3.37
K3 0.2500 0.7500 0.2500  4 B 3.37, 4 In 3.37
K4 0.2500 0.7500 0.7500  4 In 3.37, 4 B 3.37
K5 0.7500 0.2500 0.2500  4 B 3.37, 4 In 3.37
K6 0.7500 0.2500 0.7500  4 In 3.37, 4 B 3.37
K7 0.7500 0.7500 0.2500  4 In 3.37, 4 B 3.37
K8 0.7500 0.7500 0.7500  4 B 3.37, 4 In 3.37
In1 0.0000 0.0000 0.0000  8 K 3.37
In2 0.0000 0.5000 0.5000  8 K 3.37
In3 0.5000 0.0000 0.5000  8 K 3.37
In4 0.5000 0.5000 0.0000  8 K 3.37
B1 0.0000 0.0000 0.5000  8 K 3.37
B2 0.0000 0.5000 0.0000  8 K 3.37
B3 0.5000 0.0000 0.0000  8 K 3.37
B4 0.5000 0.5000 0.5000  8 K 3.37

***

20.
A crystal of La3InB relaxed with PBEsol, computed with meta-GGA SCAN.

Output
* ΔH_f (0 K): -0.285 eV/atom
* SG: Pm-3m (221)

abc: 5.2476 5.2476 5.2476
angles: 90.00 90.00 90.00
Closest atoms and distances in Å follow each position.
Fractional positions:
La1 0.0000 0.0000 0.5000  2 B 2.62
La2 0.0000 0.5000 0.0000  2 B 2.62
La3 0.5000 0.0000 0.0000  2 B 2.62
In1 0.5000 0.5000 0.5000  12 La 3.71
B1 0.0000 0.0000 0.0000  6 La 2.62

***

| no. | total moment (μB per cell) | density (g cm⁻³) |
| --- | --- | --- |
| 1 | 0.23 | 4.4 |
| 2 | 0.00 | 4.6 |
| 3 | 0.00 | 6.7 |
| 4 | 0.00 | 4.7 |
| 5 | 0.00 | 4.3 |
| 6 | 0.01 | 4.9 |
| 7 | 4.00 | 4.0 |
| 8 | 0.00 | 3.0 |
| 9 | 0.00 | 9.9 |
| 10 | 0.00 | 6.7 |
| 11 | 2.43 | 9.2 |
| 12 | 0.00 | 7.9 |
| 13 | 1.36 | 4.6 |
| 14 | 0.00 | 5.1 |
| 15 | 0.00 | 5.8 |
| 16 | 0.00 | 14.1 |
| 17 | 0.00 | 13.9 |
| 18 | 0.42 | 3.0 |
| 19 | 0.01 | 2.9 |
| 20 | 0.00 | 6.2 |